The following is a PBE calculation of crystalline SrLa2Dy at its relaxed geometry, from Alexandria.

- energy of formation from the pure elements (eV/atom) = 0.116
- polymorph energy (0 for the lowest one) (eV/atom) = 0.028
- spin magnetization (μB/f.u.) = 0.00

```
data_SrLa2Dy
_chemical_formula_sum 'Sr1 La2 Dy1'
_cell_length_a 4.222
_cell_length_b 4.222
_cell_length_c 9.065
_cell_angle_alpha 90.00
_cell_angle_beta 90.00
_cell_angle_gamma 90.00
_symmetry_space_group_name_H-M 'P 4/m m m'
_symmetry_Int_Tables_number 123
_symmetry_space_group_name_Hall '-P 4 2'
loop_
_atom_site_label
_atom_site_type_symbol
_atom_site_fract_x
_atom_site_fract_y
_atom_site_fract_z
Sr1 Sr 0.000 0.000 0.000
La1 La 0.500 0.500 0.294
Dy1 Dy 0.000 0.000 0.500
```